Density functional theory data (PBEsol) for Ta2CdSb after structural relaxation.

a b c (Å): 6.694 6.694 6.694
angles (deg): 90.00 90.00 90.00
Space group Fm-3m (No. 225)
Asymmetric unit:
Ta  0.250  0.250  0.250
Cd  0.000  0.000  0.000
Sb  0.000  0.000  0.500

Calculated values
Density in kg/m³: 13201
Calculated total energy in eV per atom: -7.2682
Raw formation energy in eV per atom: 0.446


Density functional theory data (PBEsol) for TaCdSb4 after structural relaxation.

a b c (Å): 8.477 8.477 8.477
angles (deg): 90.00 90.00 90.00
Space group F-43m (No. 216)
Asymmetric unit:
Ta  0.000  0.000  0.000
Cd  0.250  0.250  0.750
Sb  0.126  0.126  0.374

Calculated values
Density in kg/m³: 8508
Calculated total energy in eV per atom: -4.4787
Raw formation energy in eV per atom: 0.851


Density functional theory data (PBEsol) for TaCdSb2 after structural relaxation.

a b c (Å): 3.1294 3.1294 32.3100
angles (deg): 90.00 90.00 120.00
Space group R3m (No. 160, hexagonal axes)
Asymmetric unit:
Ta  0.0000  0.0000  0.0000
Cd  0.0000  0.0000  0.7404
Sb  0.0000  0.0000  0.2611
Sb  0.0000  0.0000  0.4873

Calculated values
Density in kg/m³: 9760
Calculated total energy in eV per atom: -5.4692
Raw formation energy in eV per atom: 0.247